Density functional theory data (PBE-GGA) for crystalline Rb5PuO5 at its relaxed geometry.

Lattice parameters (Å, degrees): 6.942 6.942 7.747 107.04 107.04 45.06
Sites, in units of the cell vectors:
Rb (0.000, 0.000, 0.000)
Rb (0.320, 0.320, 0.199)
Rb (0.329, 0.329, 0.657)
Rb (0.671, 0.671, 0.343)
Rb (0.680, 0.680, 0.801)
Pu (0.000, 0.000, 0.500)
O (0.121, 0.121, 0.373)
O (0.121, 0.121, 0.755)
O (0.500, 0.500, 0.500)
O (0.879, 0.879, 0.245)
O (0.879, 0.879, 0.627)

Raw formation energy (kJ/mol of formula units): -1828
M_tot (μB per atom): 0.270
Space-group type: C2/m, No. 12